Compound: PuMn2PbO6
Source: the Alexandria database
Functional: PBE with a Hubbard U
Structure: optimized geometry

Unit cell a=5.661 b=5.661 c=6.056 alpha=62.14 beta=62.13 gamma=59.98
Site moments in Bohr magnetons follow the coordinates.
Fractional coordinates of all 10 atoms:
Pu (0.321, 0.321, 0.037)  3.08
Mn (0.528, 0.529, 0.414)  4.54
Mn (0.012, 0.012, 0.965)  4.51
Pb (0.801, 0.801, 0.598)  -0.01
O (0.592, 0.253, 0.232)  -0.07
O (0.253, 0.922, 0.232)  -0.07
O (0.922, 0.592, 0.232)  -0.07
O (0.357, 0.715, 0.768)  -0.09
O (0.715, 0.160, 0.768)  -0.09
O (0.160, 0.357, 0.768)  -0.09

DFT total energy = -8.159 eV per atom
Total magnetization = 1.20 μB/atom
Space group = R3 (146)